# 1
## KFeNi4 (PBE-GGA)

Data for crystalline KFeNi4 at its relaxed geometry.

Summary:
symmetry	F-43m
energy of formation	0.585	eV/atom

Lattice parameters (Å, degrees): 4.9454 4.9454 4.9454 60.00 60.00 60.00
Element x y z (fractional)
K 0.0000 0.0000 0.0000
Fe 0.2500 0.2500 0.2500
Ni 0.1286 0.6238 0.6238
Ni 0.6238 0.1286 0.6238
Ni 0.6238 0.6238 0.1286
Ni 0.6238 0.6238 0.6238

# 2
## K2RbFeNi (PBE-GGA)

Data for crystalline K2RbFeNi at its relaxed geometry.

Summary:
symmetry	P4/mmm
energy of formation	0.748	eV/atom

Lattice parameters (Å, degrees): 6.5199 6.5199 4.5734 90.00 90.00 90.00
Element x y z (fractional)
K 0.0000 0.5000 0.0000
K 0.5000 0.0000 0.0000
Rb 0.0000 0.0000 0.5000
Fe 0.5000 0.5000 0.0000
Ni 0.5000 0.5000 0.5000

# 3
## K2FeNiS4 (PBE-GGA)

Data for crystalline K2FeNiS4 at its relaxed geometry.

Summary:
energy	-4.8466	eV/atom
symmetry	Fddd

Lattice parameters (Å, degrees): 12.9088 11.4807 7.0079 84.91 62.36 32.73
Element x y z (fractional)
K 0.0552 0.0552 0.6948
K 0.3052 0.3052 0.9448
K 0.6948 0.6948 0.0552
K 0.9448 0.9448 0.3052
Fe 0.3750 0.3750 0.3750
Fe 0.6250 0.6250 0.6250
Ni 0.1250 0.1250 0.1250
Ni 0.8750 0.8750 0.8750
S 0.0198 0.3392 0.4200
S 0.2791 0.5800 0.6608
S 0.3392 0.0198 0.7209
S 0.4200 0.7209 0.0198
S 0.5800 0.2791 0.9802
S 0.6608 0.9802 0.2791
S 0.7209 0.4200 0.3392
S 0.9802 0.6608 0.5800

# 4
## K2Fe2NiSe4 (PBE-GGA)

Data for crystalline K2Fe2NiSe4 at its relaxed geometry.

Summary:
energy	-4.8390	eV/atom
symmetry	C2/m

Lattice parameters (Å, degrees): 8.5832 8.5832 7.3668 107.11 107.11 24.51
Element x y z (fractional)
K 0.1116 0.1116 0.0002
K 0.8884 0.8884 0.9998
Fe 0.3067 0.3067 0.4909
Fe 0.6933 0.6933 0.5091
Ni 0.0000 0.0000 0.5000
Se 0.2342 0.2342 0.7368
Se 0.4605 0.4605 0.6646
Se 0.5395 0.5395 0.3354
Se 0.7658 0.7658 0.2632